[1]
VASP calculation (PBE-GGA) on a geometry-optimized ErPuTe2N structure.

V in A^3/atom: 26.02
E_tot in eV/atom: -7.9144
Formation energy without anion corrections in kcal/mol of atoms: -27.99

a = 4.0621 Å, b = 4.0621 Å, c = 15.7694 Å
α = 90.00°, β = 90.00°, γ = 90.00°
Space group P4/nmm (No. 129, origin choice 2)
Asymmetric unit:
Er1 0.2500 0.2500 0.1359 (multiplicity 2)
Pu1 0.2500 0.2500 0.5663 (multiplicity 2)
Te1 0.2500 0.2500 0.3181 (multiplicity 2)
Te2 0.2500 0.2500 0.9179 (multiplicity 2)
N1 0.2500 0.7500 0.5000 (multiplicity 2)

***

[2]
VASP calculation (PBE-GGA) on a geometry-optimized ErPu2ThN4 structure.

V in A^3/atom: 15.41
E_tot in eV/atom: -10.6859
Formation energy without anion corrections in kcal/mol of atoms: -33.26

a = 6.0495 Å, b = 3.5331 Å, c = 6.1197 Å
α = 90.00°, β = 109.51°, γ = 90.00°
Space group P2/m (No. 10)
Asymmetric unit:
Er1 0.0000 0.0000 0.0000 (multiplicity 1)
Pu1 0.5000 0.0000 0.5000 (multiplicity 1)
Pu2 0.5000 0.5000 0.0000 (multiplicity 1)
Th1 0.0000 0.5000 0.5000 (multiplicity 1)
N1 0.2552 0.5000 0.2450 (multiplicity 2)
N2 0.2574 0.0000 0.7618 (multiplicity 2)

***

[3]
VASP calculation (PBE-GGA) on a geometry-optimized Er2PuThN4 structure.

V in A^3/atom: 15.28
E_tot in eV/atom: -9.5853
Formation energy without anion corrections in kcal/mol of atoms: -36.04

a = 6.0633 Å, b = 3.5143 Å, c = 6.0925 Å
α = 90.00°, β = 109.63°, γ = 90.00°
Space group P2/m (No. 10)
Asymmetric unit:
Er1 0.0000 0.0000 0.0000 (multiplicity 1)
Er2 0.5000 0.5000 0.0000 (multiplicity 1)
Pu1 0.0000 0.5000 0.5000 (multiplicity 1)
Th1 0.5000 0.0000 0.5000 (multiplicity 1)
N1 0.2455 0.0000 0.7519 (multiplicity 2)
N2 0.2468 0.5000 0.2417 (multiplicity 2)

***

[4]
VASP calculation (PBE-GGA) on a geometry-optimized Er2TmPuN4 structure.

V in A^3/atom: 14.27
E_tot in eV/atom: -9.2966
Formation energy without anion corrections in kcal/mol of atoms: -37.88

a = 5.9323 Å, b = 3.4395 Å, c = 5.9326 Å
α = 90.00°, β = 109.38°, γ = 90.00°
Space group P2/m (No. 10)
Asymmetric unit:
Er1 0.0000 0.0000 0.0000 (multiplicity 1)
Er2 0.5000 0.5000 0.0000 (multiplicity 1)
Tm1 0.0000 0.5000 0.5000 (multiplicity 1)
Pu1 0.5000 0.0000 0.5000 (multiplicity 1)
N1 0.2510 0.0000 0.7466 (multiplicity 2)
N2 0.2523 0.5000 0.2537 (multiplicity 2)